The following is a DFT calculation (PBE with a Hubbard U) of crystalline MoPIO2 at its relaxed geometry.

The structure belongs to space group P4/mmm (No. 123); the cell edges are 3.886, 3.886 and 7.898 Å and the angles 90.00°, 90.00° and 90.00°. The asymmetric unit holds Mo at (0.000, 0.000, 0.000), P at (0.500, 0.500, 0.500), I at (0.000, 0.000, 0.500) and O at (0.000, 0.500, 0.000).

The value obtained for the energy above the most stable polymorph in this dataset is 0.214 eV/atom. The density of states at the Fermi level is 2.50 states/eV per cell. The total energy comes out at -5.13 eV/atom. The calculation puts the spin magnetization at 1.77 μB per cell.